The following is a PBE calculation of a relaxed structure of Na2La3NdTe6, from Alexandria.

Output
The value obtained for the total energy is -4.859 eV/atom. As for the crystal system: monoclinic. As for the density of states at the Fermi level: 4.6 states/eV/cell. As for the magnetic moment: 0.000 μB/atom.

Unit cell a=7.934 b=7.934 c=7.881 alpha=99.66 beta=99.66 gamma=119.94
Atoms (fractional coordinates):
Na (0.166, 0.834, 0.000)
Na (0.834, 0.166, 0.000)
La (0.000, 0.000, 0.500)
La (0.331, 0.669, 0.500)
La (0.669, 0.331, 0.500)
Nd (0.500, 0.500, 0.000)
Te (0.086, 0.418, 0.755)
Te (0.252, 0.252, 0.249)
Te (0.418, 0.086, 0.755)
Te (0.582, 0.914, 0.245)
Te (0.748, 0.748, 0.751)
Te (0.914, 0.582, 0.245)